1.
# Ni2GeB (GGA-PBE, optimized geometry)
data_Ni2GeB
_space_group_name_H-M_alt 'I -4 2 d'
_space_group_IT_number 122
_space_group_name_Hall 'I -4 2bw'
_cell_length_a 4.500
_cell_length_b 4.500
_cell_length_c 11.065
_cell_angle_alpha 90.00
_cell_angle_beta 90.00
_cell_angle_gamma 90.00
loop_
_atom_site_label
_atom_site_type_symbol
_atom_site_fract_x
_atom_site_fract_y
_atom_site_fract_z
Ni1 Ni 0.151 0.250 0.125
Ge1 Ge 0.000 0.000 0.500
B1 B 0.000 0.000 0.000
# Formation energy from the elements ... 326 meV per atom
# Spin magnetization ... 0.00 μB per cell
# Energy relative to the lowest polymorph listed for this composition ... 36.7 kJ/mol of atoms

***

2.
# Ni12GeB5 (GGA-PBE, optimized geometry)
data_Ni12GeB5
_space_group_name_H-M_alt 'I m m m'
_space_group_IT_number 71
_space_group_name_Hall '-I 2 2'
_cell_length_a 6.705
_cell_length_b 6.747
_cell_length_c 7.535
_cell_angle_alpha 90.00
_cell_angle_beta 90.00
_cell_angle_gamma 90.00
loop_
_atom_site_label
_atom_site_type_symbol
_atom_site_fract_x
_atom_site_fract_y
_atom_site_fract_z
Ni1 Ni 0.000 0.185 0.227
Ni2 Ni 0.186 0.500 0.175
Ni3 Ni 0.217 0.318 0.500
Ge1 Ge 0.000 0.000 0.500
B1 B 0.000 0.000 0.000
B2 B 0.000 0.348 0.000
B3 B 0.000 0.500 0.382
# Formation energy from the elements ... -267 meV per atom
# Spin magnetization ... 0.00 μB per cell

***

3.
# Ni2GeB (GGA-PBE, optimized geometry)
data_Ni2GeB
_space_group_name_H-M_alt 'R -3 m'
_space_group_IT_number 166
_space_group_name_Hall '-R 3 2"'
_cell_length_a 2.9924
_cell_length_b 2.9924
_cell_length_c 17.9836
_cell_angle_alpha 90.00
_cell_angle_beta 90.00
_cell_angle_gamma 120.00
loop_
_atom_site_label
_atom_site_type_symbol
_atom_site_fract_x
_atom_site_fract_y
_atom_site_fract_z
Ni1 Ni 0.0000 0.0000 0.2215
Ge1 Ge 0.0000 0.0000 0.0000
B1 B 0.0000 0.0000 0.5000
# Formation energy from the elements ... -54 meV per atom
# Spin magnetization ... 0.00 μB per cell
# Energy relative to the lowest polymorph listed for this composition ... 0.0 kJ/mol of atoms

***

4.
# Ni3GeB (GGA-PBE, optimized geometry)
data_Ni3GeB
_space_group_name_H-M_alt 'P m -3 m'
_space_group_IT_number 221
_space_group_name_Hall '-P 4 2 3'
_cell_length_a 3.839
_cell_length_b 3.839
_cell_length_c 3.839
_cell_angle_alpha 90.00
_cell_angle_beta 90.00
_cell_angle_gamma 90.00
loop_
_atom_site_label
_atom_site_type_symbol
_atom_site_fract_x
_atom_site_fract_y
_atom_site_fract_z
Ni1 Ni 0.000 0.000 0.500
Ge1 Ge 0.500 0.500 0.500
B1 B 0.000 0.000 0.000
# Formation energy from the elements ... -64 meV per atom
# Spin magnetization ... 0.00 μB per cell
# Energy relative to the lowest polymorph listed for this composition ... 16.0 kJ/mol of atoms

***

5.
# Ni12Ge5B2 (GGA-PBE, optimized geometry)
data_Ni12Ge5B2
_space_group_name_H-M_alt 'C 1 2/m 1'
_space_group_IT_number 12
_cell_length_a 12.164
_cell_length_b 6.564
_cell_length_c 6.288
_cell_angle_alpha 90.00
_cell_angle_beta 110.48
_cell_angle_gamma 90.00
loop_
_space_group_symop_operation_xyz
'x,y,z'
'-x,-y,-z'
'-x,y,-z'
'x,-y,z'
'x+1/2,y+1/2,z'
'-x+1/2,-y+1/2,-z'
'-x+1/2,y+1/2,-z'
'x+1/2,-y+1/2,z'
loop_
_atom_site_label
_atom_site_type_symbol
_atom_site_fract_x
_atom_site_fract_y
_atom_site_fract_z
Ni1 Ni 0.013 0.000 0.313
Ni2 Ni 0.066 0.500 0.697
Ni3 Ni 0.112 0.197 0.025
Ni4 Ni 0.172 0.199 0.627
Ge1 Ge 0.000 0.500 0.000
Ge2 Ge 0.221 0.000 0.359
Ge3 Ge 0.235 0.500 0.050
B1 B 0.000 0.249 0.500
# Formation energy from the elements ... -139 meV per atom
# Spin magnetization ... 0.00 μB per cell

***

6.
# NiGeB3 (GGA-PBE, optimized geometry)
data_NiGeB3
_space_group_name_H-M_alt 'P m -3 m'
_space_group_IT_number 221
_space_group_name_Hall '-P 4 2 3'
_cell_length_a 3.854
_cell_length_b 3.854
_cell_length_c 3.854
_cell_angle_alpha 90.00
_cell_angle_beta 90.00
_cell_angle_gamma 90.00
loop_
_atom_site_label
_atom_site_type_symbol
_atom_site_fract_x
_atom_site_fract_y
_atom_site_fract_z
Ni1 Ni 0.000 0.000 0.000
Ge1 Ge 0.500 0.500 0.500
B1 B 0.000 0.000 0.500
# Formation energy from the elements ... 1184 meV per atom
# Spin magnetization ... 0.00 μB per cell
# Energy relative to the lowest polymorph listed for this composition ... 0.0 kJ/mol of atoms

***

7.
# NiGeB3 (GGA-PBE, optimized geometry)
data_NiGeB3
_space_group_name_H-M_alt 'P m -3 m'
_space_group_IT_number 221
_space_group_name_Hall '-P 4 2 3'
_cell_length_a 4.064
_cell_length_b 4.064
_cell_length_c 4.064
_cell_angle_alpha 90.00
_cell_angle_beta 90.00
_cell_angle_gamma 90.00
loop_
_atom_site_label
_atom_site_type_symbol
_atom_site_fract_x
_atom_site_fract_y
_atom_site_fract_z
Ni1 Ni 0.000 0.000 0.000
Ge1 Ge 0.500 0.500 0.500
B1 B 0.000 0.500 0.500
# Formation energy from the elements ... 2096 meV per atom
# Spin magnetization ... 0.00 μB per cell
# Energy relative to the lowest polymorph listed for this composition ... 88.0 kJ/mol of atoms

***

8.
# Ni3GeB (GGA-PBE, optimized geometry)
data_Ni3GeB
_space_group_name_H-M_alt 'P n m a'
_space_group_IT_number 62
_cell_length_a 5.405
_cell_length_b 2.877
_cell_length_c 14.461
_cell_angle_alpha 90.00
_cell_angle_beta 90.00
_cell_angle_gamma 90.00
loop_
_space_group_symop_operation_xyz
'x,y,z'
'-x,-y,-z'
'-x+1/2,-y,z+1/2'
'x+1/2,y,-z+1/2'
'x+1/2,-y+1/2,-z+1/2'
'-x+1/2,y+1/2,z+1/2'
'-x,y+1/2,-z'
'x,-y+1/2,z'
loop_
_atom_site_label
_atom_site_type_symbol
_atom_site_fract_x
_atom_site_fract_y
_atom_site_fract_z
Ni1 Ni 0.015 0.250 0.073
Ni2 Ni 0.127 0.750 0.448
Ni3 Ni 0.206 0.250 0.679
Ge1 Ge 0.178 0.250 0.307
B1 B 0.250 0.250 0.537
# Formation energy from the elements ... -174 meV per atom
# Spin magnetization ... 0.00 μB per cell
# Energy relative to the lowest polymorph listed for this composition ... 5.4 kJ/mol of atoms

***

9.
# NiGeB2 (GGA-PBE, optimized geometry)
data_NiGeB2
_space_group_name_H-M_alt 'I -4 2 d'
_space_group_IT_number 122
_space_group_name_Hall 'I -4 2bw'
_cell_length_a 4.591
_cell_length_b 4.591
_cell_length_c 9.715
_cell_angle_alpha 90.00
_cell_angle_beta 90.00
_cell_angle_gamma 90.00
loop_
_atom_site_label
_atom_site_type_symbol
_atom_site_fract_x
_atom_site_fract_y
_atom_site_fract_z
Ni1 Ni 0.000 0.000 0.000
Ge1 Ge 0.000 0.000 0.500
B1 B 0.219 0.250 0.125
# Formation energy from the elements ... 692 meV per atom
# Spin magnetization ... 0.00 μB per cell

***

10.
# NiGe3B (GGA-PBE, optimized geometry)
data_NiGe3B
_space_group_name_H-M_alt 'P m -3 m'
_space_group_IT_number 221
_space_group_name_Hall '-P 4 2 3'
_cell_length_a 4.528
_cell_length_b 4.528
_cell_length_c 4.528
_cell_angle_alpha 90.00
_cell_angle_beta 90.00
_cell_angle_gamma 90.00
loop_
_atom_site_label
_atom_site_type_symbol
_atom_site_fract_x
_atom_site_fract_y
_atom_site_fract_z
Ni1 Ni 0.000 0.000 0.000
Ge1 Ge 0.000 0.000 0.500
B1 B 0.500 0.500 0.500
# Formation energy from the elements ... 996 meV per atom
# Spin magnetization ... 0.00 μB per cell
# Energy relative to the lowest polymorph listed for this composition ... 19.4 kJ/mol of atoms